## Al2SnPt7 (PBE-GGA)

Data for a geometry-optimized Al2SnPt7 structure. Values from VASP.

Quantum ESPRESSO input file:
```
&SYSTEM
  ibrav = 0, nat = 10, ntyp = 3
/
ATOMIC_SPECIES
Al 26.98 Al.upf
Sn 118.71 Sn.upf
Pt 195.08 Pt.upf
CELL_PARAMETERS angstrom
4.013 0.000 -0.772
-0.149 4.010 -0.772
-0.090 -0.093 10.346
ATOMIC_POSITIONS angstrom
Al 2.582 2.679 2.603
Al 1.193 1.238 6.199
Sn 0.000 0.000 0.000
Pt 0.300 2.394 1.561
Pt 1.393 3.528 7.240
Pt 2.381 0.389 1.561
Pt 1.932 2.005 -0.772
Pt 2.927 0.956 4.401
Pt 3.474 1.523 7.240
Pt 0.847 2.961 4.401
```

Output
The value obtained for the formation energy from the elements is -6.1 eV per formula unit. The mass density comes out at 15.40 Mg/m³. The value obtained for the total magnetic moment is 0.000 μB/f.u. As for the total energy: -5.9872 eV/atom. The density of states at the Fermi level is 0.413 states/eV/atom.